AlAg9Se6 at its PBEsol-relaxed geometry, computed with meta-GGA SCAN.

Summary:
Final energy in eV/atom: -25.910
Uncorrected formation energy in meV/atom: -252

Cell: 10.9936 10.9936 10.9936 Å, 90.00 90.00 90.00°
Last column: nearest neighbours and their distance in Å.
Space group P2_13 (No. 198)
Unique sites:
Al (0.0102, 0.0102, 0.0102) [4 per cell]  4 Se 2.36-2.38
Ag (0.0334, 0.7758, 0.2668) [12 per cell]  3 Se 2.64-2.79
Ag (0.0406, 0.1306, 0.6653) [12 per cell]  3 Se 2.65-2.77, 5 Ag 2.87-2.97
Ag (0.0741, 0.8666, 0.6757) [12 per cell]  3 Se 2.56-2.68
Se (0.0295, 0.9705, 0.4705) [4 per cell]  6 Ag 2.58-2.77
Se (0.0979, 0.6270, 0.6370) [12 per cell]  1 Al 2.38, 2 Ag 2.56-2.65
Se (0.1341, 0.1341, 0.1341) [4 per cell]  1 Al 2.36
Se (0.2332, 0.2668, 0.7332) [4 per cell]  6 Ag 2.64-2.70